Material: BaScTc
Method: DFT, meta-GGA SCAN
State: single point on PBEsol structure

a b c (Å): 3.4010 3.4010 7.6033
angles (deg): 90.00 90.00 120.00
Space group P3m1 (No. 156)
Asymmetric unit:
Ba1 0.0000 0.0000 0.0000 x1
Sc1 0.3333 0.6667 0.5418 x1
Tc1 0.6667 0.3333 0.3136 x1

Output
Total magnetization (Bohr magnetons per cell): 0.000
Calculated formation energy (kJ/mol of formula units): 182
Excess energy over the best structure of this formula in the dataset (eV per atom): 0.000


Material: SrMoSCl2
Method: DFT, meta-GGA SCAN
State: single point on PBEsol structure

a b c (Å): 5.290 5.290 5.680
angles (deg): 90.00 90.00 90.00
Space group P4/mmm (No. 123)
Asymmetric unit:
Sr1 0.000 0.000 0.000 x1
Mo1 0.500 0.500 0.500 x1
S1 0.000 0.000 0.500 x1
Cl1 0.000 0.500 0.000 x2

Output
Raw formation energy (meV/atom): -317.7
Total magnetization (Bohr magnetons per cell): 3.999


Look up the total magnetization of the first one.
0.000 Bohr magnetons per cell


Number 1 is which compound?
BaScTc


What is the total magnetization in the first record?
0.000 Bohr magnetons per cell